# 1
The following is a PBE calculation of a relaxed structure of LiCa2NpO4, from Alexandria via LeMat-Bulk.

total moment = 4.00 μB per cell
electronic total energy = -7.43 eV/atom
uncorrected formation energy = -20.7 eV per formula unit

POSCAR file:
```
LiCa2NpO4
1.0
5.7532 0.0000 0.0000
0.0000 3.4135 0.0000
-1.7343 0.0000 5.5687
Li Ca Np O
1 2 1 4
direct
0.0000 0.0000 0.0000
0.0000 0.5000 0.5000
0.5000 0.0000 0.5000
0.5000 0.5000 0.0000
0.2456 0.0000 0.7538
0.2672 0.5000 0.2492
0.7328 0.5000 0.7508
0.7544 0.0000 0.2462
```

# 2
The following is a PBE calculation of a relaxed structure of Pr4InAg2, from Alexandria via LeMat-Bulk.

ΔE to the lowest computed polymorph = 0.00 eV per formula unit
formation energy = -0.19 eV per atom
total moment = 1.61 μB per cell
electronic total energy = -4.13 eV/atom

POSCAR file:
```
Pr4InAg2
1.0
2.6758 1.5449 8.5147
-2.6758 1.5449 8.5147
0.0000 -3.0897 8.5147
Pr In Ag
4 1 2
direct
0.1145 0.1145 0.1145
0.3692 0.3692 0.3692
0.6308 0.6308 0.6308
0.8855 0.8855 0.8855
0.5000 0.5000 0.5000
0.2417 0.2417 0.2417
0.7583 0.7583 0.7583
```

# 3
The following is a PBE calculation of a relaxed structure of SiAuC3, from Alexandria via LeMat-Bulk.

ΔE to the lowest computed polymorph = 0.00 eV per formula unit
total moment = 0.00 μB per cell
electronic total energy = -5.18 eV/atom
uncorrected formation energy = 10.5 eV per formula unit

POSCAR file:
```
SiAuC3
1.0
3.8145 0.0000 0.0000
0.0000 3.8145 0.0000
0.0000 0.0000 3.8145
Si Au C
1 1 3
direct
0.0000 0.0000 0.0000
0.5000 0.5000 0.5000
0.0000 0.0000 0.5000
0.0000 0.5000 0.0000
0.5000 0.0000 0.0000
```

# 4
The following is a PBE calculation of a relaxed structure of RbI2N2, from Alexandria via LeMat-Bulk.

ΔE to the lowest computed polymorph = 2.72 eV per formula unit
total moment = 3.12 μB per cell
electronic total energy = -2.88 eV/atom
uncorrected formation energy = 6.3 eV per formula unit

POSCAR file:
```
RbI2N2
1.0
4.6666 0.0000 0.0000
0.0000 4.6666 0.0000
0.0000 0.0000 8.7872
Rb I N
1 2 2
direct
0.0000 0.0000 0.0000
0.5000 0.5000 0.0000
0.5000 0.5000 0.5000
0.0000 0.5000 0.5000
0.5000 0.0000 0.5000
```

# 5
The following is a PBE calculation of a relaxed structure of CeDyHoTl, from Alexandria via LeMat-Bulk.

formation energy = 0.03 eV per atom
total moment = 0.39 μB per cell
electronic total energy = -4.34 eV/atom

POSCAR file:
```
CeDyHoTl
1.0
0.0000 3.8158 3.8158
3.8158 0.0000 3.8158
3.8158 3.8158 0.0000
Ce Dy Ho Tl
1 1 1 1
direct
0.0000 0.0000 0.0000
0.2500 0.2500 0.2500
0.7500 0.7500 0.7500
0.5000 0.5000 0.5000
```

# 6
The following is a PBE calculation of a relaxed structure of KCrCo3, from Alexandria via LeMat-Bulk.

ΔE to the lowest computed polymorph = 0.00 eV per formula unit
formation energy = 1.23 eV per atom
total moment = 1.37 μB per cell
electronic total energy = -5.18 eV/atom

POSCAR file:
```
KCrCo3
1.0
4.3850 0.0000 0.0000
0.0000 4.3850 0.0000
0.0000 0.0000 4.3850
K Cr Co
1 1 3
direct
0.0000 0.0000 0.0000
0.5000 0.5000 0.5000
0.0000 0.5000 0.5000
0.5000 0.0000 0.5000
0.5000 0.5000 0.0000
```

# 7
The following is a PBE calculation of a relaxed structure of NaBrO, from Alexandria via LeMat-Bulk.

ΔE to the lowest computed polymorph = 0.53 eV per formula unit
total moment = 0.00 μB per cell
electronic total energy = -3.43 eV/atom
uncorrected formation energy = -2.3 eV per formula unit

POSCAR file:
```
NaBrO
1.0
3.3537 -2.1030 0.0000
3.3537 2.1030 0.0000
-0.3363 0.0000 4.4917
Na Br O
1 1 1
direct
0.0000 0.0000 0.0000
0.3941 0.3941 0.5017
0.3360 0.3360 0.8996
```

# 8
The following is a PBE calculation of a relaxed structure of Na2NpSeO6, from Alexandria via LeMat-Bulk.

total moment = 1.00 μB per cell
electronic total energy = -6.72 eV/atom
uncorrected formation energy = -18.4 eV per formula unit

POSCAR file:
```
Na2NpSeO6
1.0
5.7679 0.0000 0.0000
0.0000 5.7679 0.0000
0.0000 0.0000 4.3162
Na Np Se O
2 1 1 6
direct
0.0000 0.5000 0.0000
0.5000 0.0000 0.0000
0.0000 0.0000 0.5638
0.5000 0.5000 0.5339
0.0000 0.0000 0.0701
0.2487 0.2487 0.5780
0.2487 0.7513 0.5780
0.5000 0.5000 0.1471
0.7513 0.2487 0.5780
0.7513 0.7513 0.5780
```